[1]
Material: GeSbS
Method: DFT, PBE
State: optimized geometry

Properties
For the formation energy from raw total energies, the calculation gives -94.6 meV/atom. Its offset from the most stable computed form is 0.0000 eV/atom.

a = 3.3272 Å, b = 7.2785 Å, c = 7.6234 Å
α = 111.32°, β = 102.60°, γ = 90.00°
Closest atoms and distances in Å follow each position.
Positions (direct):
Sb: 0.3740 0.2362 0.7479  2 Ge 2.71-2.72
S: 0.8653 0.7585 0.7306  2 Ge 2.26
Ge: 0.4291 0.6362 0.8583  2 S 2.26
S: 0.1347 0.2415 0.2694  2 Ge 2.26
Sb: 0.6260 0.7638 0.2521  2 Ge 2.71-2.72
Ge: 0.5709 0.3638 0.1417  2 S 2.26

[2]
Material: Sb2OsPt
Method: DFT, PBE
State: optimized geometry

Properties
For the formation energy from raw total energies, the calculation gives 324.4 meV/atom. Its offset from the most stable computed form is 0.2214 eV/atom.

a = 3.2691 Å, b = 3.2446 Å, c = 7.8079 Å
α = 66.18°, β = 90.00°, γ = 90.00°
Closest atoms and distances in Å follow each position.
Positions (direct):
Sb: 0.0000 0.9847 0.0104  4 Os 2.87, 4 Pt 2.94-2.98
Pt: 0.5000 0.7500 0.7500  8 Sb 2.94-2.98, 4 Pt 3.24-3.27
Os: 0.5000 0.2500 0.2500  8 Sb 2.87
Sb: 0.0000 0.5153 0.4896  4 Os 2.87, 4 Pt 2.94-2.98

[3]
Material: Ba2SO5
Method: DFT, PBE
State: optimized geometry

Properties
For the formation energy from raw total energies, the calculation gives -2060.7 meV/atom.

a = 5.9263 Å, b = 5.9262 Å, c = 5.6686 Å
α = 121.51°, β = 121.51°, γ = 90.00°
Closest atoms and distances in Å follow each position.
Positions (direct):
O: 0.8221 0.8221 0.0298  1 S 1.66
O: 0.8221 0.2077 0.0298  1 S 1.66
Ba: 0.7413 0.2413 0.4826  10 O 2.76-3.00
S: 0.9679 0.9679 0.9359  5 O 1.54-1.66
O: 0.2077 0.8221 0.0298  1 S 1.66
O: 0.7669 0.7669 0.5338  1 S 1.54
Ba: 0.2413 0.7413 0.4826  10 O 2.76-3.00
O: 0.2077 0.2077 0.0298  1 S 1.66

[4]
Material: NaMg2Ge2
Method: DFT, PBE
State: optimized geometry

Properties
The value obtained for the formation energy is -0.1819 eV per atom. Its offset from the most stable computed form is 0.0000 eV/atom.

a = 4.5093 Å, b = 4.5093 Å, c = 6.4851 Å
α = 69.66°, β = 69.66°, γ = 90.00°
Closest atoms and distances in Å follow each position.
Positions (direct):
Ge: 0.6086 0.6086 0.7829  1 Ge 2.45
Ge: 0.3914 0.3914 0.2171  1 Ge 2.45
Mg: 0.2500 0.7500 0.5000  4 Ge 2.76
Na: 0.0000 0.0000 0.0000  8 Ge 3.42, 8 Mg 3.61
Mg: 0.7500 0.2500 0.5000  4 Ge 2.76

[5]
Material: Na2Np2TaSe6
Method: DFT, PBE
State: optimized geometry

Properties
For the formation energy from raw total energies, the calculation gives -1034.2 meV/atom.

a = 6.8692 Å, b = 6.8692 Å, c = 7.5297 Å
α = 99.01°, β = 99.01°, γ = 119.47°
Closest atoms and distances in Å follow each position.
Positions (direct):
Se: 0.3875 0.0775 0.7239  1 Ta 2.67, 2 Np 2.87
Se: 0.6125 0.9225 0.2761  1 Ta 2.67, 2 Np 2.87
Na: 0.8285 0.1715 0.0000  6 Se 3.00-3.10
Np: 0.6663 0.3337 0.5000  6 Se 2.87
Np: 0.3337 0.6663 0.5000  6 Se 2.87
Se: 0.0775 0.3875 0.7239  1 Ta 2.67, 2 Np 2.87
Se: 0.7671 0.7671 0.7236  1 Ta 2.67, 2 Np 2.87
Na: 0.1715 0.8285 0.0000  6 Se 3.00-3.10
Se: 0.9225 0.6125 0.2761  1 Ta 2.67, 2 Np 2.87
Ta: 0.0000 0.0000 0.5000  6 Se 2.67
Se: 0.2329 0.2329 0.2764  1 Ta 2.67, 2 Np 2.87

[6]
Material: Sr3Ga2Ge3
Method: DFT, PBE
State: optimized geometry

Properties
The value obtained for the formation energy is -0.4927 eV per atom. Its offset from the most stable computed form is 0.0121 eV/atom.

a = 4.4360 Å, b = 6.4353 Å, c = 15.9473 Å
α = 90.00°, β = 90.00°, γ = 110.16°
Closest atoms and distances in Å follow each position.
Positions (direct):
Ge: 0.5897 0.1793 0.4594  1 Ge 2.52, 2 Ga 2.61
Sr: 0.1606 0.3212 0.6025  5 Ge 3.17-3.38, 3 Ga 3.37-3.51
Sr: 0.8394 0.6788 0.3975  5 Ge 3.17-3.38, 3 Ga 3.37-3.51
Ge: 0.5897 0.1793 0.0406  1 Ge 2.52, 2 Ga 2.61
Sr: 0.8394 0.6788 0.1025  5 Ge 3.17-3.38, 3 Ga 3.37-3.51
Ge: 0.7414 0.4828 0.7500  2 Ga 2.64
Sr: 0.4638 0.9275 0.7500  4 Ga 3.14, 5 Ge 3.35-3.48
Ge: 0.2586 0.5172 0.2500  2 Ga 2.64
Ga: 0.1165 0.2330 0.1246  3 Ge 2.61-2.64
Ga: 0.8835 0.7670 0.6246  3 Ge 2.61-2.64
Sr: 0.5362 0.0725 0.2500  4 Ga 3.14, 5 Ge 3.35-3.48
Ga: 0.1165 0.2330 0.3754  3 Ge 2.61-2.64
Ge: 0.4103 0.8207 0.9594  1 Ge 2.52, 2 Ga 2.61
Ge: 0.4103 0.8207 0.5406  1 Ge 2.52, 2 Ga 2.61
Ga: 0.8835 0.7670 0.8754  3 Ge 2.61-2.64
Sr: 0.1606 0.3212 0.8975  5 Ge 3.17-3.38, 3 Ga 3.37-3.51

[7]
Material: Pm7AlI12
Method: DFT, PBE
State: optimized geometry

Properties
For the formation energy from raw total energies, the calculation gives -1221.4 meV/atom.

a = 9.9560 Å, b = 9.9560 Å, c = 9.9560 Å
α = 107.81°, β = 107.81°, γ = 107.81°
Closest atoms and distances in Å follow each position.
Positions (direct):
I: 0.7687 0.9222 0.3125  3 Pm 3.17-3.32
Al: 0.0000 0.0000 0.0000  6 Pm 2.90
I: 0.2313 0.0778 0.6875  3 Pm 3.17-3.32
I: 0.8441 0.6091 0.5291  3 Pm 3.15-3.22
Pm: 0.5000 0.5000 0.5000  6 I 3.15
Pm: 0.9654 0.6801 0.8939  1 Al 2.90, 4 I 3.17-3.22
I: 0.0778 0.6875 0.2313  3 Pm 3.17-3.32
Pm: 0.3199 0.1061 0.0346  1 Al 2.90, 4 I 3.17-3.22
I: 0.9222 0.3125 0.7687  3 Pm 3.17-3.32
Pm: 0.6801 0.8939 0.9654  1 Al 2.90, 4 I 3.17-3.22
I: 0.1559 0.3909 0.4709  3 Pm 3.15-3.22
Pm: 0.1061 0.0346 0.3199  1 Al 2.90, 4 I 3.17-3.22
I: 0.3125 0.7687 0.9222  3 Pm 3.17-3.32
I: 0.6091 0.5291 0.8441  3 Pm 3.15-3.22
Pm: 0.0346 0.3199 0.1061  1 Al 2.90, 4 I 3.17-3.22
I: 0.3909 0.4709 0.1559  3 Pm 3.15-3.22
Pm: 0.8939 0.9654 0.6801  1 Al 2.90, 4 I 3.17-3.22
I: 0.6875 0.2313 0.0778  3 Pm 3.17-3.32
I: 0.4709 0.1559 0.3909  3 Pm 3.15-3.22
I: 0.5291 0.8441 0.6091  3 Pm 3.15-3.22

[8]
Material: TbNd9Sc2
Method: DFT, PBE
State: optimized geometry

Properties
The value obtained for the formation energy is 0.0316 eV per atom.

a = 5.0877 Å, b = 5.0877 Å, c = 15.2749 Å
α = 90.00°, β = 90.00°, γ = 90.00°
Closest atoms and distances in Å follow each position.
Positions (direct):
Nd: 0.5000 0.0000 0.5000  8 Nd 3.57-3.60, 4 Sc 3.58
Nd: 0.0000 0.5000 0.8288  2 Sc 3.57, 8 Nd 3.58-3.65, 2 Tb 3.65
Nd: 0.0000 0.5000 0.1712  2 Sc 3.57, 8 Nd 3.58-3.65, 2 Tb 3.65
Tb: 0.0000 0.0000 0.0000  12 Nd 3.60-3.65
Nd: 0.5000 0.0000 0.8288  2 Sc 3.57, 8 Nd 3.58-3.65, 2 Tb 3.65
Nd: 0.5000 0.5000 0.0000  4 Tb 3.60, 8 Nd 3.65
Sc: 0.0000 0.0000 0.6644  12 Nd 3.57-3.60
Nd: 0.0000 0.5000 0.5000  8 Nd 3.57-3.60, 4 Sc 3.58
Nd: 0.5000 0.5000 0.3359  8 Nd 3.57-3.58, 4 Sc 3.60
Nd: 0.5000 0.5000 0.6641  8 Nd 3.57-3.58, 4 Sc 3.60
Sc: 0.0000 0.0000 0.3356  12 Nd 3.57-3.60
Nd: 0.5000 0.0000 0.1712  2 Sc 3.57, 8 Nd 3.58-3.65, 2 Tb 3.65

[9]
Material: InPtRhPb
Method: DFT, PBE
State: optimized geometry

Properties
The value obtained for the formation energy is -0.1117 eV per atom.

a = 4.7416 Å, b = 4.7416 Å, c = 4.7416 Å
α = 60.00°, β = 60.00°, γ = 60.00°
Closest atoms and distances in Å follow each position.
Positions (direct):
Pb: 0.0000 0.0000 0.0000  4 Pt 2.90, 4 Rh 2.90
In: 0.5000 0.5000 0.5000  4 Rh 2.90, 4 Pt 2.90
Pt: 0.2500 0.2500 0.2500  4 In 2.90, 4 Pb 2.90
Rh: 0.7500 0.7500 0.7500  4 Pb 2.90, 4 In 2.90

[10]
Material: LiPm8Pb6
Method: DFT, PBE
State: optimized geometry

Properties
The value obtained for the formation energy is -0.3874 eV per atom.

a = 9.4727 Å, b = 9.4727 Å, c = 8.5202 Å
α = 56.23°, β = 56.23°, γ = 60.00°
Closest atoms and distances in Å follow each position.
Positions (direct):
Pm: 0.4066 0.7807 0.7127  5 Pb 3.15-3.33, 1 Li 3.51
Pb: 0.9301 0.2705 0.2199  7 Pm 3.15-3.45
Pm: 0.9000 0.5934 0.2873  5 Pb 3.15-3.33, 1 Li 3.51
Li: 0.0000 0.0000 0.0000  6 Pm 3.51, 6 Pb 3.57
Pm: 0.5934 0.2193 0.2873  5 Pb 3.15-3.33, 1 Li 3.51
Pb: 0.5795 0.9301 0.2199  7 Pm 3.15-3.45
Pb: 0.7295 0.4205 0.7801  7 Pm 3.15-3.45
Pm: 0.1000 0.4066 0.7127  5 Pb 3.15-3.33, 1 Li 3.51
Pm: 0.6677 0.6677 0.9970  6 Pb 3.39-3.45, 6 Pm 3.75-3.78
Pb: 0.0699 0.7295 0.7801  7 Pm 3.15-3.45
Pm: 0.3323 0.3323 0.0030  6 Pb 3.39-3.45, 6 Pm 3.75-3.78
Pb: 0.2705 0.5795 0.2199  7 Pm 3.15-3.45
Pm: 0.2193 0.9000 0.2873  5 Pb 3.15-3.33, 1 Li 3.51
Pm: 0.7807 0.1000 0.7127  5 Pb 3.15-3.33, 1 Li 3.51
Pb: 0.4205 0.0699 0.7801  7 Pm 3.15-3.45

[11]
Material: K2TaAg
Method: DFT, PBE
State: optimized geometry

Properties
The value obtained for the formation energy is 1.3473 eV per atom. Its offset from the most stable computed form is 0.5488 eV/atom.

a = 5.5635 Å, b = 5.5635 Å, c = 5.5635 Å
α = 60.00°, β = 60.00°, γ = 60.00°
Closest atoms and distances in Å follow each position.
Positions (direct):
K: 0.0000 0.0000 0.0000  4 Ta 3.41, 4 K 3.41
Ag: 0.5000 0.5000 0.5000  4 K 3.41, 4 Ta 3.41
Ta: 0.7500 0.7500 0.7500  4 K 3.41, 4 Ag 3.41
K: 0.2500 0.2500 0.2500  4 K 3.41, 4 Ag 3.41

[12]
Material: ThCl2
Method: DFT, PBE
State: optimized geometry

Properties
For the formation energy from raw total energies, the calculation gives -1719.5 meV/atom.

a = 3.7375 Å, b = 3.7375 Å, c = 7.9454 Å
α = 76.30°, β = 76.30°, γ = 60.00°
Closest atoms and distances in Å follow each position.
Positions (direct):
Cl: 0.3151 0.3151 0.5750  3 Th 2.91
Th: 0.0673 0.0673 0.3201  6 Cl 2.91
Cl: 0.4862 0.4862 0.0652  3 Th 2.91

Taking the records one at a time from the top gives DOS at the Fermi energy values of 0.96; 3.07; 0.00; 1.36; 21.45; 3.52; 12.48; 17.91; 3.74; 7.54; 5.79; 1.05 states/eV/f.u..
Taking the records one at a time from the top gives raw total energy values of -4.38; -6.05; -6.16; -2.93; -6.61; -3.61; -4.00; -4.99; -5.07; -4.53; -2.88; -5.42 eV/atom.
Taking the records one at a time from the top gives total moment values of 0.0; 0.0; 0.0; 0.0; 9.0; 0.0; 0.0; 0.0; 0.0; 0.0; 4.1; 0.0 μB per cell.